Below is AlCo2Ag after structural relaxation, with properties calculated at the GGA-PBE level.

Its total magnetization is 2.8 μB/f.u. The symmetry is R3m (160). The density of states at the Fermi level is 1.06 states/eV per atom. The energy of formation from the pure elements is 0.1237 eV per atom.

Structure (POSCAR):
```
AlCo2Ag
1.0
1.365 0.788 8.458
-1.365 0.788 8.458
0.000 -1.576 8.458
Al Co Ag
1 2 1
Direct
0.000 0.000 0.000
0.482 0.482 0.482
0.743 0.743 0.743
0.240 0.240 0.240
```